Computed, not measured: a geometry-optimized CaGaCu structure at the PBE-GGA level of DFT.

POSCAR file:
```
CaGaCu
1.0
2.117 -5.216 0.000
2.117 5.216 0.000
0.000 0.000 5.458
Ca Ga Cu
2 2 2
Cartesian
2.117 3.042 4.094
2.117 -3.042 1.365
2.117 0.000 0.000
2.117 0.000 2.729
2.117 4.480 1.365
2.117 -4.480 4.094
```

Calculated values
**ΔH_f (0 K)**: -6.7 kcal/mol of atoms
**Calculated total energy**: -3.33 eV/atom


Computed, not measured: a geometry-optimized TbPmNd6Y2 structure at the PBE-GGA level of DFT.

POSCAR file:
```
TbPmNd6Y2
1.0
4.698 -7.678 0.000
4.698 7.678 0.000
-1.159 0.000 9.601
Tb Pm Nd Y
2 2 12 4
Cartesian
3.829 7.174 7.201
4.408 -7.174 2.400
4.408 1.407 2.400
3.829 -1.407 7.201
1.908 4.232 6.578
4.036 4.996 0.546
4.781 4.996 4.254
2.788 1.707 8.472
5.750 4.232 7.823
4.870 1.707 5.929
3.367 -1.707 3.672
2.488 -4.232 1.778
5.449 -1.707 1.129
3.456 -4.996 5.347
4.201 -4.996 9.055
6.329 -4.232 3.023
1.679 0.725 5.266
2.258 -0.725 0.465
5.979 0.725 9.136
6.559 -0.725 4.335
```

Calculated values
**ΔH_f (0 K)**: 2.7 kcal/mol of atoms
**Calculated total energy**: -4.98 eV/atom


Computed, not measured: a geometry-optimized PtSe2S structure at the PBE-GGA level of DFT.

POSCAR file:
```
PtSe2S
1.0
-3.345 3.345 3.882
3.345 -3.345 3.882
3.345 3.345 -3.882
Pt Se S
2 4 2
Cartesian
0.000 0.000 0.000
0.000 3.345 1.941
5.017 1.514 -0.971
1.514 1.672 0.971
-1.672 1.831 2.912
1.831 1.672 4.853
3.345 0.000 1.941
0.000 0.000 3.882
```

Calculated values
**ΔE_f (raw)**: 0.2253 eV/atom
**Calculated total energy**: -4.06 eV/atom


Computed, not measured: a geometry-optimized Tl2PtW structure at the PBE-GGA level of DFT.

POSCAR file:
```
Tl2PtW
1.0
3.048 0.000 0.000
0.000 3.069 0.000
-1.477 0.000 9.118
Tl Pt W
2 1 1
Cartesian
0.000 0.000 0.000
0.072 1.535 2.970
0.072 1.535 6.773
1.597 0.000 5.194
```

Calculated values
**ΔH_f (0 K)**: 7.9 kcal/mol of atoms
**Calculated total energy**: -5.59 eV/atom
**Energy above the most stable polymorph in this dataset**: 0.0 kJ per mole of atoms


Computed, not measured: a geometry-optimized AcPm2ZnN structure at the PBE-GGA level of DFT.

POSCAR file:
```
AcPm2ZnN
1.0
4.975 0.000 0.000
0.000 4.975 0.000
0.000 0.000 5.282
Ac Pm Zn N
1 2 1 1
Cartesian
0.000 0.000 0.000
0.000 2.488 2.641
2.488 0.000 2.641
2.488 2.488 0.000
0.000 0.000 2.641
```

Calculated values
**ΔE_f (raw)**: -0.5745 eV/atom
**Calculated total energy**: -5.22 eV/atom


Computed, not measured: a geometry-optimized Sm2PuTl structure at the PBE-GGA level of DFT.

POSCAR file:
```
Sm2PuTl
1.0
0.000 3.884 3.884
3.884 0.000 3.884
3.884 3.884 0.000
Sm Pu Tl
2 1 1
Cartesian
1.942 1.942 1.942
5.826 5.826 5.826
0.000 0.000 0.000
3.884 3.884 3.884
```

Calculated values
**ΔH_f (0 K)**: 0.6 kcal/mol of atoms
**Calculated total energy**: -6.51 eV/atom
**Energy above the most stable polymorph in this dataset**: 9.9 kJ per mole of atoms


Computed, not measured: a geometry-optimized BeIn2Os structure at the PBE-GGA level of DFT.

POSCAR file:
```
BeIn2Os
1.0
1.528 0.882 8.801
-1.528 0.882 8.801
0.000 -1.764 8.801
Be In Os
1 2 1
Cartesian
0.000 0.000 0.000
0.000 0.000 13.861
0.000 0.000 19.829
0.000 0.000 7.317
```

Calculated values
**ΔH_f (0 K)**: 9.6 kcal/mol of atoms
**Calculated total energy**: -4.69 eV/atom


Computed, not measured: a geometry-optimized Ca2TaOs structure at the PBE-GGA level of DFT.

POSCAR file:
```
Ca2TaOs
1.0
2.813 -5.122 0.000
2.813 5.122 0.000
-0.391 0.000 2.860
Ca Ta Os
2 1 1
Cartesian
1.407 2.561 0.000
1.407 -2.561 0.000
-0.195 0.000 1.430
2.618 0.000 1.430
```

Calculated values
**ΔH_f (0 K)**: 16.1 kcal/mol of atoms
**Calculated total energy**: -6.07 eV/atom
**Energy above the most stable polymorph in this dataset**: 53.5 kJ per mole of atoms